No. 1
# ScTiB2Mo, optimized geometry, DFT PBE
# raw total energy	-6.2010	eV per atom
# crystal system	tetragonal
# total moment	0.0	μB/cell
data_ScTiB2Mo
_cell_length_a 4.106
_cell_length_b 4.106
_cell_length_c 4.453
_cell_angle_alpha 90.00
_cell_angle_beta 90.00
_cell_angle_gamma 90.00
_space_group_name_H-M_alt 'P 4/m m m'
_space_group_IT_number 123
_space_group_name_Hall '-P 4 2'
loop_
_atom_site_label
_atom_site_type_symbol
_atom_site_fract_x
_atom_site_fract_y
_atom_site_fract_z
Sc1 Sc 0.000 0.000 0.000
Ti1 Ti 0.000 0.000 0.500
B1 B 0.000 0.500 0.500
Mo1 Mo 0.500 0.500 0.000



No. 2
# RbGa3Fe, optimized geometry, DFT PBE
# raw total energy	-3.8131	eV per atom
# crystal system	cubic
# total moment	0.0	μB/cell
data_RbGa3Fe
_cell_length_a 4.752
_cell_length_b 4.752
_cell_length_c 4.752
_cell_angle_alpha 90.00
_cell_angle_beta 90.00
_cell_angle_gamma 90.00
_space_group_name_H-M_alt 'P m -3 m'
_space_group_IT_number 221
_space_group_name_Hall '-P 4 2 3'
loop_
_atom_site_label
_atom_site_type_symbol
_atom_site_fract_x
_atom_site_fract_y
_atom_site_fract_z
Rb1 Rb 0.000 0.000 0.000
Ga1 Ga 0.000 0.500 0.500
Fe1 Fe 0.500 0.500 0.500



No. 3
# Be2CrTc, optimized geometry, DFT PBE
# raw total energy	-6.8218	eV per atom
# crystal system	monoclinic
# total moment	0.0	μB/cell
data_Be2CrTc
_cell_length_a 2.468
_cell_length_b 3.703
_cell_length_c 4.903
_cell_angle_alpha 90.00
_cell_angle_beta 102.04
_cell_angle_gamma 90.00
_space_group_name_H-M_alt 'P 1 2/m 1'
_space_group_IT_number 10
loop_
_space_group_symop_operation_xyz
'x,y,z'
'-x,-y,-z'
'-x,y,-z'
'x,-y,z'
loop_
_atom_site_label
_atom_site_type_symbol
_atom_site_fract_x
_atom_site_fract_y
_atom_site_fract_z
Be1 Be 0.004 0.000 0.262
Cr1 Cr 0.500 0.500 0.500
Tc1 Tc 0.500 0.500 0.000



No. 4
# Tl2CdInCo, optimized geometry, DFT PBE
# raw total energy	-2.9201	eV per atom
# crystal system	tetragonal
# total moment	0.0	μB/cell
data_Tl2CdInCo
_cell_length_a 5.046
_cell_length_b 5.046
_cell_length_c 4.967
_cell_angle_alpha 90.00
_cell_angle_beta 90.00
_cell_angle_gamma 90.00
_space_group_name_H-M_alt 'P 4/m m m'
_space_group_IT_number 123
_space_group_name_Hall '-P 4 2'
loop_
_atom_site_label
_atom_site_type_symbol
_atom_site_fract_x
_atom_site_fract_y
_atom_site_fract_z
Tl1 Tl 0.000 0.500 0.000
Cd1 Cd 0.000 0.000 0.500
In1 In 0.500 0.500 0.500
Co1 Co 0.500 0.500 0.000



No. 5
# Tl2Cd6Sn, optimized geometry, DFT PBE
# raw total energy	-1.5125	eV per atom
# crystal system	hexagonal
# total moment	0.0	μB/cell
data_Tl2Cd6Sn
_cell_length_a 9.0054
_cell_length_b 9.0054
_cell_length_c 3.3304
_cell_angle_alpha 90.00
_cell_angle_beta 90.00
_cell_angle_gamma 120.00
_space_group_name_H-M_alt 'P 6/m m m'
_space_group_IT_number 191
_space_group_name_Hall '-P 6 2'
loop_
_atom_site_label
_atom_site_type_symbol
_atom_site_fract_x
_atom_site_fract_y
_atom_site_fract_z
Tl1 Tl 0.3333 0.6667 0.0000
Cd1 Cd 0.0000 0.3315 0.5000
Sn1 Sn 0.0000 0.0000 0.0000



No. 6
# Th3Ga9Au2, optimized geometry, DFT PBE
# raw total energy	-4.4887	eV per atom
# crystal system	orthorhombic
# total moment	0.0	μB/cell
data_Th3Ga9Au2
_cell_length_a 4.322
_cell_length_b 10.361
_cell_length_c 12.756
_cell_angle_alpha 90.00
_cell_angle_beta 90.00
_cell_angle_gamma 90.00
_space_group_name_H-M_alt 'I m m m'
_space_group_IT_number 71
_space_group_name_Hall '-I 2 2'
loop_
_atom_site_label
_atom_site_type_symbol
_atom_site_fract_x
_atom_site_fract_y
_atom_site_fract_z
Th1 Th 0.000 0.000 0.000
Th2 Th 0.000 0.000 0.323
Ga1 Ga 0.000 0.272 0.138
Ga2 Ga 0.000 0.375 0.332
Ga3 Ga 0.000 0.500 0.000
Au1 Au 0.000 0.225 0.500



No. 7
# Na6BiN2, optimized geometry, DFT PBE
# raw formation energy	0.25	eV per atom
# crystal system	orthorhombic
# total moment	0.0	μB/cell
data_Na6BiN2
_cell_length_a 4.509
_cell_length_b 7.731
_cell_length_c 9.771
_cell_angle_alpha 90.00
_cell_angle_beta 90.00
_cell_angle_gamma 90.00
_space_group_name_H-M_alt 'I m m m'
_space_group_IT_number 71
_space_group_name_Hall '-I 2 2'
loop_
_atom_site_label
_atom_site_type_symbol
_atom_site_fract_x
_atom_site_fract_y
_atom_site_fract_z
Na1 Na 0.000 0.167 0.217
Na2 Na 0.000 0.328 0.500
Bi1 Bi 0.000 0.500 0.000
N1 N 0.000 0.500 0.282



No. 8
# HgSb2Pb2, optimized geometry, DFT PBE
# raw formation energy	0.09	eV per atom
# crystal system	triclinic
# total moment	0.0	μB/cell
data_HgSb2Pb2
_cell_length_a 5.200
_cell_length_b 5.494
_cell_length_c 6.336
_cell_angle_alpha 95.66
_cell_angle_beta 97.17
_cell_angle_gamma 105.07
_space_group_name_H-M_alt 'P -1'
_space_group_IT_number 2
loop_
_space_group_symop_operation_xyz
'x,y,z'
'-x,-y,-z'
loop_
_atom_site_label
_atom_site_type_symbol
_atom_site_fract_x
_atom_site_fract_y
_atom_site_fract_z
Hg1 Hg 0.000 0.000 0.000
Sb1 Sb 0.407 0.430 0.197
Pb1 Pb 0.209 0.787 0.516



No. 9
# NaTlZn, optimized geometry, DFT PBE
# raw total energy	-1.5875	eV per atom
# crystal system	cubic
# total moment	0.0	μB/cell
data_NaTlZn
_cell_length_a 6.896
_cell_length_b 6.896
_cell_length_c 6.896
_cell_angle_alpha 90.00
_cell_angle_beta 90.00
_cell_angle_gamma 90.00
_space_group_name_H-M_alt 'F -4 3 m'
_space_group_IT_number 216
_space_group_name_Hall 'F -4 2 3'
loop_
_atom_site_label
_atom_site_type_symbol
_atom_site_fract_x
_atom_site_fract_y
_atom_site_fract_z
Na1 Na 0.000 0.000 0.000
Tl1 Tl 0.000 0.000 0.500
Zn1 Zn 0.250 0.250 0.750



No. 10
# CuTeO4, optimized geometry, DFT PBE
# raw formation energy	-0.77	eV per atom
# crystal system	orthorhombic
# total moment	0.0	μB/cell
data_CuTeO4
_cell_length_a 6.318
_cell_length_b 8.002
_cell_length_c 3.032
_cell_angle_alpha 90.00
_cell_angle_beta 90.00
_cell_angle_gamma 90.00
_space_group_name_H-M_alt 'C m m m'
_space_group_IT_number 65
_space_group_name_Hall '-C 2 2'
loop_
_atom_site_label
_atom_site_type_symbol
_atom_site_fract_x
_atom_site_fract_y
_atom_site_fract_z
Cu1 Cu 0.000 0.000 0.000
Te1 Te 0.000 0.500 0.500
O1 O 0.000 0.336 0.000
O2 O 0.191 0.000 0.500



No. 11
# PrSm4HoSe8, optimized geometry, DFT PBE
# raw formation energy	-1.72	eV per atom
# crystal system	trigonal
# total moment	0.0	μB/cell
data_PrSm4HoSe8
_cell_length_a 8.5822
_cell_length_b 8.5822
_cell_length_c 21.0994
_cell_angle_alpha 90.00
_cell_angle_beta 90.00
_cell_angle_gamma 120.00
_space_group_name_H-M_alt 'R 3 m'
_space_group_IT_number 160
_space_group_name_Hall 'R 3 -2"'
loop_
_atom_site_label
_atom_site_type_symbol
_atom_site_fract_x
_atom_site_fract_y
_atom_site_fract_z
Pr1 Pr 0.0000 0.0000 0.0000
Sm1 Sm 0.0000 0.0000 0.6245
Sm2 Sm 0.1680 0.3361 0.8318
Ho1 Ho 0.0000 0.0000 0.3734
Se1 Se 0.0000 0.0000 0.2436
Se2 Se 0.0000 0.0000 0.7573
Se3 Se 0.0088 0.5044 0.7523
Se4 Se 0.1753 0.3507 0.5779



No. 12
# NdSm3As4, optimized geometry, DFT PBE
# raw total energy	-6.2144	eV per atom
# crystal system	orthorhombic
# total moment	0.0	μB/cell
data_NdSm3As4
_cell_length_a 8.458
_cell_length_b 11.959
_cell_length_c 4.232
_cell_angle_alpha 90.00
_cell_angle_beta 90.00
_cell_angle_gamma 90.00
_space_group_name_H-M_alt 'C m m m'
_space_group_IT_number 65
_space_group_name_Hall '-C 2 2'
loop_
_atom_site_label
_atom_site_type_symbol
_atom_site_fract_x
_atom_site_fract_y
_atom_site_fract_z
Nd1 Nd 0.000 0.000 0.000
Sm1 Sm 0.000 0.500 0.000
Sm2 Sm 0.250 0.250 0.500
As1 As 0.000 0.251 0.000
As2 As 0.248 0.500 0.500



No. 13
# InTeAuN2, optimized geometry, DFT PBE
# raw formation energy	1.40	eV per atom
# crystal system	tetragonal
# total moment	3.5	μB/cell
data_InTeAuN2
_cell_length_a 4.195
_cell_length_b 4.195
_cell_length_c 6.475
_cell_angle_alpha 90.00
_cell_angle_beta 90.00
_cell_angle_gamma 90.00
_space_group_name_H-M_alt 'P 4/m m m'
_space_group_IT_number 123
_space_group_name_Hall '-P 4 2'
loop_
_atom_site_label
_atom_site_type_symbol
_atom_site_fract_x
_atom_site_fract_y
_atom_site_fract_z
In1 In 0.000 0.000 0.000
Te1 Te 0.000 0.000 0.500
Au1 Au 0.500 0.500 0.500
N1 N 0.000 0.500 0.000



No. 14
# VSbSe2N, optimized geometry, DFT PBE
# raw formation energy	2.21	eV per atom
# crystal system	tetragonal
# total moment	0.3	μB/cell
data_VSbSe2N
_cell_length_a 5.245
_cell_length_b 5.245
_cell_length_c 5.157
_cell_angle_alpha 90.00
_cell_angle_beta 90.00
_cell_angle_gamma 90.00
_space_group_name_H-M_alt 'P 4/m m m'
_space_group_IT_number 123
_space_group_name_Hall '-P 4 2'
loop_
_atom_site_label
_atom_site_type_symbol
_atom_site_fract_x
_atom_site_fract_y
_atom_site_fract_z
V1 V 0.000 0.000 0.000
Sb1 Sb 0.000 0.000 0.500
Se1 Se 0.000 0.500 0.500
N1 N 0.500 0.500 0.000



No. 15
# Ca2CdHg, optimized geometry, DFT PBE
# raw total energy	-1.1188	eV per atom
# crystal system	orthorhombic
# total moment	0.0	μB/cell
data_Ca2CdHg
_cell_length_a 3.631
_cell_length_b 6.332
_cell_length_c 12.785
_cell_angle_alpha 90.00
_cell_angle_beta 90.00
_cell_angle_gamma 90.00
_space_group_name_H-M_alt 'I m m m'
_space_group_IT_number 71
_space_group_name_Hall '-I 2 2'
loop_
_atom_site_label
_atom_site_type_symbol
_atom_site_fract_x
_atom_site_fract_y
_atom_site_fract_z
Ca1 Ca 0.000 0.000 0.240
Cd1 Cd 0.000 0.000 0.500
Hg1 Hg 0.000 0.000 0.000



No. 16
# LaIn4Au2, optimized geometry, DFT PBE
# raw total energy	-3.5773	eV per atom
# crystal system	orthorhombic
# total moment	0.0	μB/cell
data_LaIn4Au2
_cell_length_a 4.562
_cell_length_b 17.282
_cell_length_c 4.455
_cell_angle_alpha 90.00
_cell_angle_beta 90.00
_cell_angle_gamma 90.00
_space_group_name_H-M_alt 'C m m m'
_space_group_IT_number 65
_space_group_name_Hall '-C 2 2'
loop_
_atom_site_label
_atom_site_type_symbol
_atom_site_fract_x
_atom_site_fract_y
_atom_site_fract_z
La1 La 0.000 0.000 0.000
In1 In 0.000 0.177 0.500
In2 In 0.000 0.316 0.000
Au1 Au 0.000 0.422 0.500



No. 17
# UMn2Al3, optimized geometry, DFT PBE
# raw total energy	-6.9600	eV per atom
# crystal system	monoclinic
# total moment	0.0	μB/cell
data_UMn2Al3
_cell_length_a 8.896
_cell_length_b 8.169
_cell_length_c 5.575
_cell_angle_alpha 90.00
_cell_angle_beta 108.90
_cell_angle_gamma 90.00
_space_group_name_H-M_alt 'C 1 2/c 1'
_space_group_IT_number 15
loop_
_space_group_symop_operation_xyz
'x,y,z'
'-x,-y,-z'
'-x,y,-z+1/2'
'x,-y,z+1/2'
'x+1/2,y+1/2,z'
'-x+1/2,-y+1/2,-z'
'-x+1/2,y+1/2,-z+1/2'
'x+1/2,-y+1/2,z+1/2'
loop_
_atom_site_label
_atom_site_type_symbol
_atom_site_fract_x
_atom_site_fract_y
_atom_site_fract_z
U1 U 0.000 0.122 0.250
Mn1 Mn 0.208 0.233 0.206
Al1 Al 0.000 0.253 0.750
Al2 Al 0.160 0.478 0.461



No. 18
# BaLa2Fe, optimized geometry, DFT PBE
# raw total energy	-4.8718	eV per atom
# crystal system	orthorhombic
# total moment	0.0	μB/cell
data_BaLa2Fe
_cell_length_a 3.923
_cell_length_b 4.274
_cell_length_c 17.418
_cell_angle_alpha 90.00
_cell_angle_beta 90.00
_cell_angle_gamma 90.00
_space_group_name_H-M_alt 'A m m 2'
_space_group_IT_number 38
loop_
_space_group_symop_operation_xyz
'x,y,z'
'-x,-y,z'
'-x,y,z'
'x,-y,z'
'x,y+1/2,z+1/2'
'-x,-y+1/2,z+1/2'
'-x,y+1/2,z+1/2'
'x,-y+1/2,z+1/2'
loop_
_atom_site_label
_atom_site_type_symbol
_atom_site_fract_x
_atom_site_fract_y
_atom_site_fract_z
Ba1 Ba 0.000 0.000 0.000
La1 La 0.000 0.000 0.321
La2 La 0.500 0.000 0.685
Fe1 Fe 0.500 0.000 0.810



No. 19
# CoHg2Cl, optimized geometry, DFT PBE
# raw formation energy	0.17	eV per atom
# crystal system	trigonal
# total moment	6.0	μB/cell
data_CoHg2Cl
_cell_length_a 3.5058
_cell_length_b 3.5058
_cell_length_c 24.0201
_cell_angle_alpha 90.00
_cell_angle_beta 90.00
_cell_angle_gamma 120.00
_space_group_name_H-M_alt 'R -3 m'
_space_group_IT_number 166
_space_group_name_Hall '-R 3 2"'
loop_
_atom_site_label
_atom_site_type_symbol
_atom_site_fract_x
_atom_site_fract_y
_atom_site_fract_z
Co1 Co 0.0000 0.0000 0.0000
Hg1 Hg 0.0000 0.0000 0.2578
Cl1 Cl 0.0000 0.0000 0.5000



No. 20
# Al2OsSe, optimized geometry, DFT PBE
# raw formation energy	0.06	eV per atom
# crystal system	monoclinic
# total moment	0.0	μB/cell
data_Al2OsSe
_cell_length_a 8.858
_cell_length_b 3.264
_cell_length_c 4.732
_cell_angle_alpha 90.00
_cell_angle_beta 114.06
_cell_angle_gamma 90.00
_space_group_name_H-M_alt 'C 1 2/m 1'
_space_group_IT_number 12
loop_
_space_group_symop_operation_xyz
'x,y,z'
'-x,-y,-z'
'-x,y,-z'
'x,-y,z'
'x+1/2,y+1/2,z'
'-x+1/2,-y+1/2,-z'
'-x+1/2,y+1/2,-z'
'x+1/2,-y+1/2,z'
loop_
_atom_site_label
_atom_site_type_symbol
_atom_site_fract_x
_atom_site_fract_y
_atom_site_fract_z
Al1 Al 0.250 0.000 0.234
Os1 Os 0.000 0.500 0.000
Se1 Se 0.000 0.000 0.500



No. 21
# TbFeCoSi2, optimized geometry, DFT PBE
# raw formation energy	-0.77	eV per atom
# crystal system	tetragonal
# total moment	0.0	μB/cell
data_TbFeCoSi2
_cell_length_a 3.932
_cell_length_b 3.932
_cell_length_c 9.613
_cell_angle_alpha 90.00
_cell_angle_beta 90.00
_cell_angle_gamma 90.00
_space_group_name_H-M_alt 'I -4 m 2'
_space_group_IT_number 119
_space_group_name_Hall 'I -4 -2'
loop_
_atom_site_label
_atom_site_type_symbol
_atom_site_fract_x
_atom_site_fract_y
_atom_site_fract_z
Tb1 Tb 0.000 0.000 0.000
Fe1 Fe 0.000 0.500 0.250
Co1 Co 0.000 0.500 0.750
Si1 Si 0.000 0.000 0.368



No. 22
# Ho6PC2Se3, optimized geometry, DFT PBE
# raw formation energy	-1.37	eV per atom
# crystal system	monoclinic
# total moment	0.0	μB/cell
data_Ho6PC2Se3
_cell_length_a 17.161
_cell_length_b 3.830
_cell_length_c 7.953
_cell_angle_alpha 90.00
_cell_angle_beta 105.44
_cell_angle_gamma 90.00
_space_group_name_H-M_alt 'C 1 2/m 1'
_space_group_IT_number 12
loop_
_space_group_symop_operation_xyz
'x,y,z'
'-x,-y,-z'
'-x,y,-z'
'x,-y,z'
'x+1/2,y+1/2,z'
'-x+1/2,-y+1/2,-z'
'-x+1/2,y+1/2,-z'
'x+1/2,-y+1/2,z'
loop_
_atom_site_label
_atom_site_type_symbol
_atom_site_fract_x
_atom_site_fract_y
_atom_site_fract_z
Ho1 Ho 0.018 0.000 0.251
Ho2 Ho 0.168 0.500 0.121
Ho3 Ho 0.178 0.500 0.558
P1 P 0.000 0.500 0.000
C1 C 0.169 0.000 0.337
Se1 Se 0.000 0.500 0.500
Se2 Se 0.162 0.000 0.832



No. 23
# Sm2HoSn3, optimized geometry, DFT PBE
# raw total energy	-4.9131	eV per atom
# crystal system	orthorhombic
# total moment	0.0	μB/cell
data_Sm2HoSn3
_cell_length_a 5.193
_cell_length_b 6.289
_cell_length_c 11.046
_cell_angle_alpha 90.00
_cell_angle_beta 90.00
_cell_angle_gamma 90.00
_space_group_name_H-M_alt 'I m m m'
_space_group_IT_number 71
_space_group_name_Hall '-I 2 2'
loop_
_atom_site_label
_atom_site_type_symbol
_atom_site_fract_x
_atom_site_fract_y
_atom_site_fract_z
Sm1 Sm 0.000 0.000 0.171
Ho1 Ho 0.000 0.000 0.500
Sn1 Sn 0.000 0.500 0.156
Sn2 Sn 0.000 0.500 0.500



No. 24
# DyTa5Ag2O15, optimized geometry, DFT PBE
# raw formation energy	-2.55	eV per atom
# crystal system	tetragonal
# total moment	0.0	μB/cell
data_DyTa5Ag2O15
_cell_length_a 12.594
_cell_length_b 12.594
_cell_length_c 3.922
_cell_angle_alpha 90.00
_cell_angle_beta 90.00
_cell_angle_gamma 90.00
_space_group_name_H-M_alt 'P 4/m b m'
_space_group_IT_number 127
_space_group_name_Hall '-P 4 2ab'
loop_
_atom_site_label
_atom_site_type_symbol
_atom_site_fract_x
_atom_site_fract_y
_atom_site_fract_z
Dy1 Dy 0.000 0.000 0.000
Ta1 Ta 0.000 0.500 0.500
Ta2 Ta 0.080 0.210 0.500
Ag1 Ag 0.163 0.663 0.000
O1 O 0.000 0.500 0.000
O2 O 0.001 0.659 0.500
O3 O 0.058 0.870 0.500
O4 O 0.078 0.188 0.000
O5 O 0.223 0.277 0.500